# HgWSe2, optimized geometry, DFT PBE
# N(E_F) = 0.83 states/eV per cell
# raw formation energy = -0.13 eV/atom
data_HgWSe2
_symmetry_space_group_name_H-M 'P 1'
_symmetry_Int_Tables_number 1
_cell_length_a 3.099
_cell_length_b 3.099
_cell_length_c 9.753
_cell_angle_alpha 90.00
_cell_angle_beta 90.00
_cell_angle_gamma 90.00
loop_
_symmetry_equiv_pos_as_xyz
'x,y,z'
loop_
_atom_site_label
_atom_site_type_symbol
_atom_site_fract_x
_atom_site_fract_y
_atom_site_fract_z
_atom_site_occupancy
Se1 Se 0.000 0.000 0.409 1
Se2 Se 0.000 0.000 0.091 1
Hg1 Hg 0.500 0.500 0.750 1
W1 W 0.500 0.500 0.250 1